! GaTe3Mo (GGA-PBE, relaxed); values from VASP
&SYSTEM
  ibrav = 0, nat = 5, ntyp = 3
/
ATOMIC_SPECIES
Te 127.60 Te.upf
Ga 69.72 Ga.upf
Mo 95.94 Mo.upf
ATOMIC_POSITIONS crystal
Te 0.0000 0.5000 0.0000
Te 0.0000 0.0000 0.5000
Te 0.5000 0.0000 0.0000
Ga 0.0000 0.0000 0.0000
Mo 0.5000 0.5000 0.5000
CELL_PARAMETERS angstrom
-4.7124 1.5702 1.9168
-2.3566 -4.1124 -2.4249
0.7654 -2.9948 4.3349
! VASP energy = -3.655 eV/atom
! Distance to the lowest polymorph of the same formula = 0.634 eV per atom
! SG = Pm-3m
! Theoretical density = 6.0 g/cm3

! Pr3GaTeCl (GGA-PBE, relaxed); values from VASP
&SYSTEM
  ibrav = 0, nat = 12, ntyp = 4
/
ATOMIC_SPECIES
Pr 140.91 Pr.upf
Ga 69.72 Ga.upf
Te 127.60 Te.upf
Cl 35.45 Cl.upf
ATOMIC_POSITIONS crystal
Pr 0.7500 0.8707 0.1418
Pr 0.7500 0.3897 0.1684
Pr 0.2500 0.6735 0.4310
Pr 0.2500 0.6103 0.8316
Pr 0.7500 0.3265 0.5690
Pr 0.2500 0.1293 0.8582
Ga 0.2500 0.6268 0.1388
Ga 0.7500 0.3732 0.8612
Te 0.7500 0.8683 0.8174
Te 0.2500 0.1317 0.1826
Cl 0.2500 0.1284 0.5677
Cl 0.7500 0.8716 0.4323
CELL_PARAMETERS angstrom
-0.6441 -4.1896 -0.3658
3.5080 -1.2778 8.4586
-9.4179 1.1725 3.1533
! VASP energy = -4.766 eV/atom
! SG = P2_1/m
! Theoretical density = 5.6 g/cm3

! Ta2CBr (GGA-PBE, relaxed); values from VASP
&SYSTEM
  ibrav = 0, nat = 4, ntyp = 3
/
ATOMIC_SPECIES
Br 79.90 Br.upf
Ta 180.95 Ta.upf
C 12.01 C.upf
ATOMIC_POSITIONS crystal
Br 0.5000 0.5000 0.5000
Ta 0.7500 0.7500 0.7500
Ta 0.2500 0.2500 0.2500
C 0.0000 0.0000 0.0000
CELL_PARAMETERS angstrom
0.0000 3.0531 3.0531
3.0531 0.0000 3.0531
3.0531 3.0531 0.0000
! VASP energy = -7.654 eV/atom
! SG = Fm-3m
! Theoretical density = 13.2 g/cm3

! MgRh3N (GGA-PBE, relaxed); values from VASP
&SYSTEM
  ibrav = 0, nat = 5, ntyp = 3
/
ATOMIC_SPECIES
Rh 102.91 Rh.upf
Mg 24.30 Mg.upf
N 14.01 N.upf
ATOMIC_POSITIONS crystal
Rh 0.0000 0.0000 0.5000
Rh 0.5000 0.0000 0.0000
Rh 0.0000 0.5000 0.0000
Mg 0.0000 0.0000 0.0000
N 0.5000 0.5000 0.5000
CELL_PARAMETERS angstrom
4.5698 0.0000 0.0000
0.0000 4.5698 0.0000
0.0000 0.0000 4.5698
! VASP energy = -4.042 eV/atom
! Distance to the lowest polymorph of the same formula = 2.512 eV per atom
! SG = Pm-3m
! Theoretical density = 6.0 g/cm3

! Pr7Cu2Ir2 (GGA-PBE, relaxed); values from VASP
&SYSTEM
  ibrav = 0, nat = 11, ntyp = 3
/
ATOMIC_SPECIES
Pr 140.91 Pr.upf
Cu 63.55 Cu.upf
Ir 192.22 Ir.upf
ATOMIC_POSITIONS crystal
Pr 0.0002 0.7343 0.4997
Pr 0.4997 0.2657 0.0002
Pr 0.0000 0.0000 0.0000
Pr 0.4998 0.2568 0.5002
Pr 0.9998 0.2657 0.5003
Pr 0.5002 0.7432 0.4998
Pr 0.5003 0.7343 0.9998
Cu 0.8372 0.5000 0.8372
Cu 0.1628 0.5000 0.1628
Ir 0.2957 0.0000 0.7043
Ir 0.7043 0.0000 0.2957
CELL_PARAMETERS angstrom
-2.7639 -5.6918 2.7700
6.4344 -1.7235 2.8787
-0.5763 5.2612 4.4381
! VASP energy = -5.576 eV/atom
! SG = Cmmm
! DFT formation energy = -0.178 eV/atom
! Theoretical density = 7.6 g/cm3

! NiPdPtW2 (GGA-PBE, relaxed); values from VASP
&SYSTEM
  ibrav = 0, nat = 5, ntyp = 4
/
ATOMIC_SPECIES
Pt 195.08 Pt.upf
Ni 58.69 Ni.upf
W 183.84 W.upf
Pd 106.42 Pd.upf
ATOMIC_POSITIONS crystal
Pt 0.0000 0.5000 0.0000
Ni 0.0000 0.0000 0.0000
W 0.5000 0.0000 0.0000
W 0.0000 0.0000 0.5000
Pd 0.5000 0.5000 0.5000
CELL_PARAMETERS angstrom
-0.3334 4.1765 -1.3744
-3.3992 -1.1814 -2.7656
-2.9027 0.8262 3.2148
! VASP energy = -7.322 eV/atom
! SG = P4/mmm
! DFT formation energy = 1.262 eV/atom
! Theoretical density = 13.7 g/cm3

Question: Number 6 is which compound?
Answer: NiPdPtW2